! Ac8Ru3PbI4 (PBE-GGA, optimized geometry); values from VASP
! mass density	7.8	g cm⁻³
! spin magnetization	0.0	μB/f.u.
! density of states at the Fermi level	8.4	states/eV/cell
! total DFT energy (no corrections)	-82.040	eV per formula unit
&SYSTEM
  ibrav = 0, nat = 16, ntyp = 4
/
ATOMIC_SPECIES
Ac 227.00 Ac.upf
Ru 101.07 Ru.upf
I 126.90 I.upf
Pb 207.20 Pb.upf
ATOMIC_POSITIONS angstrom
Ac 0.685 3.654 4.491
Ac -4.689 1.878 2.804
Ac -2.843 5.597 3.633
Ac 0.693 6.936 2.005
Ac -1.162 -0.065 3.661
Ac -4.698 -1.404 5.290
Ac -0.930 3.467 0.831
Ac -3.074 2.065 6.464
Ru -2.002 2.766 3.647
Ru 1.885 4.238 1.857
Ru -2.012 -0.842 6.380
I -3.877 2.135 -0.943
I 0.010 3.607 -2.733
I -3.887 -1.472 1.790
I 0.000 0.000 0.000
Pb 1.875 0.631 4.590
CELL_PARAMETERS angstrom
-7.775 -2.944 3.580
3.750 1.261 9.180
0.020 7.215 -5.466

---

! Ac4Pb2SeI (PBE-GGA, optimized geometry); values from VASP
! mass density	8.3	g cm⁻³
! spin magnetization	0.0	μB/f.u.
! density of states at the Fermi level	2.4	states/eV/cell
! total DFT energy (no corrections)	-36.851	eV per formula unit
&SYSTEM
  ibrav = 0, nat = 8, ntyp = 4
/
ATOMIC_SPECIES
Ac 227.00 Ac.upf
Se 78.96 Se.upf
I 126.90 I.upf
Pb 207.20 Pb.upf
ATOMIC_POSITIONS angstrom
Ac -2.849 4.922 -1.684
Ac -3.777 2.801 -5.852
Ac -7.698 0.311 -6.502
Ac -6.771 2.433 -2.334
Se -5.206 0.202 -4.289
I -1.084 2.700 -3.673
Pb -8.381 -0.166 -0.839
Pb -4.258 2.332 -0.224
CELL_PARAMETERS angstrom
-0.135 4.830 0.391
-2.032 0.570 -7.738
-8.381 -0.166 -0.839

---

! Ac4SiPbI2 (PBE-GGA, optimized geometry); values from VASP
! mass density	7.4	g cm⁻³
! spin magnetization	0.0	μB/f.u.
! density of states at the Fermi level	4.7	states/eV/cell
! total DFT energy (no corrections)	-35.538	eV per formula unit
&SYSTEM
  ibrav = 0, nat = 8, ntyp = 4
/
ATOMIC_SPECIES
I 126.90 I.upf
Pb 207.20 Pb.upf
Ac 227.00 Ac.upf
Si 28.09 Si.upf
ATOMIC_POSITIONS angstrom
I -5.047 -6.589 -0.773
I -3.877 -2.079 -1.910
Pb 0.017 -1.192 -4.661
Ac -1.794 -8.338 -5.059
Ac -0.831 -4.028 -6.171
Ac -3.220 -0.635 -5.037
Ac -4.182 -4.944 -3.925
Si -1.153 -5.702 -3.525
CELL_PARAMETERS angstrom
-2.707 2.431 -3.046
2.740 -4.815 -6.276
-5.047 -6.589 -0.773

---

! AcSmPbI (PBE-GGA, optimized geometry); values from VASP
! mass density	9.0	g cm⁻³
! spin magnetization	0.0	μB/f.u.
! density of states at the Fermi level	3.8	states/eV/cell
! total DFT energy (no corrections)	-16.750	eV per formula unit
&SYSTEM
  ibrav = 0, nat = 4, ntyp = 4
/
ATOMIC_SPECIES
Ac 227.00 Ac.upf
I 126.90 I.upf
Sm 150.36 Sm.upf
Pb 207.20 Pb.upf
ATOMIC_POSITIONS angstrom
Ac 4.033 -6.429 -7.254
I 0.000 0.000 0.000
Sm 1.344 -2.143 -2.418
Pb 2.689 -4.286 -4.836
CELL_PARAMETERS angstrom
-1.118 -4.390 -3.484
2.469 -0.263 -5.147
4.026 -3.919 -1.041

---

! SrAcPbI (PBE-GGA, optimized geometry); values from VASP
! mass density	7.4	g cm⁻³
! spin magnetization	0.0	μB/f.u.
! density of states at the Fermi level	1.7	states/eV/cell
! total DFT energy (no corrections)	-14.179	eV per formula unit
&SYSTEM
  ibrav = 0, nat = 4, ntyp = 4
/
ATOMIC_SPECIES
Pb 207.20 Pb.upf
Ac 227.00 Ac.upf
Sr 87.62 Sr.upf
I 126.90 I.upf
ATOMIC_POSITIONS angstrom
Pb 5.902 3.408 2.410
Ac 2.951 1.704 1.205
Sr 8.853 5.112 3.614
I 0.000 0.000 0.000
CELL_PARAMETERS angstrom
5.902 0.000 0.000
2.951 5.112 0.000
2.951 1.704 4.819

---

! AcTlPb2I8 (PBE-GGA, optimized geometry); values from VASP
! mass density	5.2	g cm⁻³
! spin magnetization	0.0	μB/f.u.
! density of states at the Fermi level	0.0	states/eV/cell
! total DFT energy (no corrections)	-37.277	eV per formula unit
&SYSTEM
  ibrav = 0, nat = 12, ntyp = 4
/
ATOMIC_SPECIES
I 126.90 I.upf
Tl 204.38 Tl.upf
Pb 207.20 Pb.upf
Ac 227.00 Ac.upf
ATOMIC_POSITIONS angstrom
I 5.127 -9.378 6.536
I -1.577 -2.486 1.518
I 2.827 -5.688 8.058
I 0.722 -6.176 -0.004
I 2.538 -3.994 3.762
I 5.161 -7.615 2.260
I -1.611 -4.248 5.793
I 1.012 -7.870 4.292
Tl 4.211 -1.364 2.147
Pb 3.817 -6.593 5.068
Pb -0.267 -5.270 2.985
Ac 0.000 0.000 0.000
CELL_PARAMETERS angstrom
-4.038 -2.190 6.530
-0.834 -6.946 -2.770
8.422 -2.727 4.294

---

- What is the formula in the fifth record?
  SrAcPbI